No. 1
# Sc2TeMo

Sc2TeMo after structural relaxation (PBE, Alexandria via LeMat-Bulk).

Lattice parameters (Å, degrees): 5.560 5.560 4.759 107.11 107.11 36.27
Atoms (fractional coordinates):
Sc: 0.000 0.000 0.000
Sc: 0.228 0.228 0.707
Te: 0.459 0.459 0.466
Mo: 0.743 0.743 0.220

Results
Uncorrected formation energy in kJ per mole of atoms: -17
Final energy in eV per formula unit: -27.36

No. 2
# ScTeMo2

ScTeMo2 after structural relaxation (PBE, Alexandria via LeMat-Bulk).

Lattice parameters (Å, degrees): 5.022 5.022 5.022 130.05 130.05 73.33
Atoms (fractional coordinates):
Sc: 0.000 0.000 0.000
Te: 0.250 0.750 0.500
Mo: 0.500 0.500 0.000
Mo: 0.750 0.250 0.500

Results
Uncorrected formation energy in kJ per mole of atoms: 15
Final energy in eV per formula unit: -30.53

No. 3
# ScTe2Mo

ScTe2Mo after structural relaxation (PBE, Alexandria via LeMat-Bulk).

Lattice parameters (Å, degrees): 4.968 4.968 4.968 60.00 60.00 60.00
Atoms (fractional coordinates):
Sc: 0.000 0.000 0.000
Te: 0.250 0.250 0.250
Te: 0.500 0.500 0.500
Mo: 0.750 0.750 0.750

Results
Uncorrected formation energy in kJ per mole of atoms: 31
E above lowest polymorph in meV/atom: 776
Final energy in eV per formula unit: -22.15